Below is an optimized crystal structure of MgCr2GaH, with properties calculated at the PBE-GGA level.

Results
Calculated volume ... 23.4 Å³/atom
SG ... No. 123

Lattice parameters (Å, degrees): 4.845 4.845 4.976 90.00 90.00 90.00
Element x y z (fractional)
Mg 0.000 0.000 0.000
Cr 0.000 0.500 0.500
Cr 0.500 0.000 0.500
Ga 0.000 0.000 0.500
H 0.500 0.500 0.000

=====

Below is an optimized crystal structure of TlBiPd5, with properties calculated at the PBE-GGA level.

Results
Calculated volume ... 18.3 Å³/atom
SG ... No. 15
Calculated formation energy ... -179 meV/atom

Lattice parameters (Å, degrees): 5.327 5.327 9.724 104.50 104.50 94.62
Element x y z (fractional)
Tl 0.000 0.000 0.000
Tl 0.000 0.000 0.500
Bi 0.500 0.500 0.250
Bi 0.500 0.500 0.750
Pd 0.023 0.387 0.844
Pd 0.151 0.849 0.750
Pd 0.231 0.543 0.462
Pd 0.387 0.023 0.344
Pd 0.457 0.769 0.038
Pd 0.543 0.231 0.962
Pd 0.613 0.977 0.656
Pd 0.769 0.457 0.538
Pd 0.849 0.151 0.250
Pd 0.977 0.613 0.156

=====

Below is an optimized crystal structure of Sc5Mo4, with properties calculated at the PBE-GGA level.

Results
Calculated volume ... 19.2 Å³/atom
Offset from the most stable computed form ... 0.000 eV/f.u.
SG ... No. 139
Calculated formation energy ... 177 meV/atom

Lattice parameters (Å, degrees): 7.365 7.365 7.365 92.98 92.98 153.63
Element x y z (fractional)
Sc 0.000 0.000 0.000
Sc 0.333 0.333 0.666
Sc 0.333 0.667 0.000
Sc 0.667 0.333 0.000
Sc 0.667 0.667 0.334
Mo 0.000 0.352 0.352
Mo 0.000 0.648 0.648
Mo 0.352 0.000 0.352
Mo 0.648 0.000 0.648

=====

no.,DOS(E_F) (states/eV per cell),DFT total energy (eV/atom)
1,2.7,-4.237
2,7.9,-4.781
3,11.9,-8.154